No. 1
! Mg5Ru (PBEsol, optimized geometry); values from VASP
&SYSTEM
  ibrav = 0, nat = 6, ntyp = 2
/
ATOMIC_SPECIES
Mg 24.30 Mg.upf
Ru 101.07 Ru.upf
ATOMIC_POSITIONS crystal
Mg 0.3249 0.6499 0.0874
Mg 0.6291 0.2581 0.2394
Mg 0.9723 0.9446 0.4448
Ru 0.9721 0.9443 0.9442
Mg 0.3152 0.6304 0.6493
Mg 0.6197 0.2394 0.8017
CELL_PARAMETERS angstrom
-0.8647 -1.5627 2.8490
5.5723 0.0710 -0.2542
-2.0592 5.9192 2.6218
! * energy relative to the elements: 0.033 eV/atom
! * DOS(E_F): 2.62 states/eV/f.u.
! * final energy: -18.56 eV per formula unit

---

No. 2
! CsCd2Pb2 (PBEsol, optimized geometry); values from VASP
&SYSTEM
  ibrav = 0, nat = 5, ntyp = 3
/
ATOMIC_SPECIES
Pb 207.20 Pb.upf
Cs 132.91 Cs.upf
Cd 112.41 Cd.upf
ATOMIC_POSITIONS crystal
Pb 0.6227 0.6227 0.2455
Cs 0.0000 0.0000 0.0000
Cd 0.2500 0.7500 0.5000
Pb 0.3773 0.3773 0.7545
Cd 0.7500 0.2500 0.5000
CELL_PARAMETERS angstrom
-3.3326 -0.9924 3.6953
-0.4675 -4.7581 -1.6995
6.5957 1.0742 2.7530
! * energy relative to the elements: -0.073 eV/atom
! * DOS(E_F): 1.96 states/eV/f.u.
! * final energy: -11.70 eV per formula unit

---

No. 3
! TaIn2Br (PBEsol, optimized geometry); values from VASP
&SYSTEM
  ibrav = 0, nat = 4, ntyp = 3
/
ATOMIC_SPECIES
In 114.82 In.upf
Ta 180.95 Ta.upf
Br 79.90 Br.upf
ATOMIC_POSITIONS crystal
In 0.5000 0.5000 0.2876
Ta 0.0000 0.0000 0.5083
Br 0.5000 0.5000 0.6811
In 0.0000 0.0000 0.0230
CELL_PARAMETERS angstrom
3.0914 0.0000 0.0000
0.0000 3.0914 0.0000
0.0000 0.0000 9.4768
! * DOS(E_F): 2.10 states/eV/f.u.
! * final energy: -20.10 eV per formula unit

---

Copy entry 1 word for word.
! Mg5Ru (PBEsol, optimized geometry); values from VASP
&SYSTEM
  ibrav = 0, nat = 6, ntyp = 2
/
ATOMIC_SPECIES
Mg 24.30 Mg.upf
Ru 101.07 Ru.upf
ATOMIC_POSITIONS crystal
Mg 0.3249 0.6499 0.0874
Mg 0.6291 0.2581 0.2394
Mg 0.9723 0.9446 0.4448
Ru 0.9721 0.9443 0.9442
Mg 0.3152 0.6304 0.6493
Mg 0.6197 0.2394 0.8017
CELL_PARAMETERS angstrom
-0.8647 -1.5627 2.8490
5.5723 0.0710 -0.2542
-2.0592 5.9192 2.6218
! * energy relative to the elements: 0.033 eV/atom
! * DOS(E_F): 2.62 states/eV/f.u.
! * final energy: -18.56 eV per formula unit